(1)
Computed, not measured: crystalline Dy3Si4Ir2 at its relaxed geometry at the PBE-GGA level of DFT.

The structure in CIF format:
```
data_Dy3Si4Ir2
_cell_length_a 10.704
_cell_length_b 4.154
_cell_length_c 8.003
_cell_angle_alpha 90.00
_cell_angle_beta 108.31
_cell_angle_gamma 90.00
_symmetry_space_group_name_H-M 'C 1 2/m 1'
_symmetry_Int_Tables_number 12
loop_
_symmetry_equiv_pos_as_xyz
'x,y,z'
'-x,-y,-z'
'-x,y,-z'
'x,-y,z'
'x+1/2,y+1/2,z'
'-x+1/2,-y+1/2,-z'
'-x+1/2,y+1/2,-z'
'x+1/2,-y+1/2,z'
loop_
_atom_site_label
_atom_site_fract_x
_atom_site_fract_y
_atom_site_fract_z
Dy1 0.000 0.000 0.000
Dy2 0.117 0.500 0.699
Si1 0.094 0.000 0.406
Si2 0.219 0.500 0.075
Ir1 0.189 0.500 0.362
```

Formation energy from raw total energies, eV per atom: -0.94
E above lowest polymorph, meV/atom: 0.0
D(E_F), states/eV per cell: 8.005

---

(2)
Computed, not measured: crystalline NaLa2Hg3 at its relaxed geometry at the PBE-GGA level of DFT.

The structure in CIF format:
```
data_NaLa2Hg3
_cell_length_a 5.4200
_cell_length_b 5.4200
_cell_length_c 13.3710
_cell_angle_alpha 90.00
_cell_angle_beta 90.00
_cell_angle_gamma 120.00
_symmetry_space_group_name_H-M 'P -3 m 1'
_symmetry_Int_Tables_number 164
_symmetry_space_group_name_Hall '-P 3 2"'
loop_
_atom_site_label
_atom_site_fract_x
_atom_site_fract_y
_atom_site_fract_z
Na1 0.3333 0.6667 0.1649
La1 0.0000 0.0000 0.0000
La2 0.0000 0.0000 0.5000
La3 0.3333 0.6667 0.6798
Hg1 0.0000 0.0000 0.2468
Hg2 0.3333 0.6667 0.4161
Hg3 0.3333 0.6667 0.9223
```

D(E_F), states/eV per cell: 10.008
Formation energy from the elements, meV per atom: -438

---

(3)
Computed, not measured: crystalline LiIrRu at its relaxed geometry at the PBE-GGA level of DFT.

The structure in CIF format:
```
data_LiIrRu
_cell_length_a 8.045
_cell_length_b 4.555
_cell_length_c 5.125
_cell_angle_alpha 90.00
_cell_angle_beta 121.79
_cell_angle_gamma 90.00
_symmetry_space_group_name_H-M 'C 1 2 1'
_symmetry_Int_Tables_number 5
loop_
_symmetry_equiv_pos_as_xyz
'x,y,z'
'-x,y,-z'
'x+1/2,y+1/2,z'
'-x+1/2,y+1/2,-z'
loop_
_atom_site_label
_atom_site_fract_x
_atom_site_fract_y
_atom_site_fract_z
Li1 0.000 0.000 0.000
Li2 0.000 0.167 0.500
Ir1 0.167 0.666 0.501
Ru1 0.169 0.502 0.002
```

E above lowest polymorph, meV/atom: 15.0
D(E_F), states/eV per cell: 8.824
Formation energy from the elements, meV per atom: -2

---

(4)
Computed, not measured: crystalline La2InAuN at its relaxed geometry at the PBE-GGA level of DFT.

The structure in CIF format:
```
data_La2InAuN
_cell_length_a 6.095
_cell_length_b 6.095
_cell_length_c 3.822
_cell_angle_alpha 90.00
_cell_angle_beta 90.00
_cell_angle_gamma 90.00
_symmetry_space_group_name_H-M 'P 4/m m m'
_symmetry_Int_Tables_number 123
_symmetry_space_group_name_Hall '-P 4 2'
loop_
_atom_site_label
_atom_site_fract_x
_atom_site_fract_y
_atom_site_fract_z
La1 0.000 0.500 0.000
In1 0.000 0.000 0.500
Au1 0.500 0.500 0.000
N1 0.500 0.500 0.500
```

Formation energy from raw total energies, eV per atom: 0.21
E above lowest polymorph, meV/atom: 823.7
D(E_F), states/eV per cell: 4.902

---

(5)
Computed, not measured: crystalline CsV3Ge at its relaxed geometry at the PBE-GGA level of DFT.

The structure in CIF format:
```
data_CsV3Ge
_cell_length_a 4.783
_cell_length_b 4.783
_cell_length_c 4.783
_cell_angle_alpha 90.00
_cell_angle_beta 90.00
_cell_angle_gamma 90.00
_symmetry_space_group_name_H-M 'P m -3 m'
_symmetry_Int_Tables_number 221
_symmetry_space_group_name_Hall '-P 4 2 3'
loop_
_atom_site_label
_atom_site_fract_x
_atom_site_fract_y
_atom_site_fract_z
Cs1 0.000 0.000 0.000
V1 0.000 0.500 0.500
Ge1 0.500 0.500 0.500
```

E above lowest polymorph, meV/atom: 0.0
D(E_F), states/eV per cell: 8.001
Formation energy from the elements, meV per atom: 1503

---

(6)
Computed, not measured: crystalline Ba2SnAsP at its relaxed geometry at the PBE-GGA level of DFT.

The structure in CIF format:
```
data_Ba2SnAsP
_cell_length_a 8.890
_cell_length_b 4.383
_cell_length_c 9.524
_cell_angle_alpha 90.00
_cell_angle_beta 99.17
_cell_angle_gamma 90.00
_symmetry_space_group_name_H-M 'P 1 21/m 1'
_symmetry_Int_Tables_number 11
loop_
_symmetry_equiv_pos_as_xyz
'x,y,z'
'-x,-y,-z'
'-x,y+1/2,-z'
'x,-y+1/2,z'
loop_
_atom_site_label
_atom_site_fract_x
_atom_site_fract_y
_atom_site_fract_z
Ba1 0.196 0.250 0.437
Ba2 0.279 0.250 0.942
Sn1 0.455 0.750 0.670
As1 0.157 0.750 0.696
P1 0.409 0.750 0.187
```

E above lowest polymorph, meV/atom: 0.0
D(E_F), states/eV per cell: 1.229
Formation energy from the elements, meV per atom: -784

---

(7)
Computed, not measured: crystalline Be2P at its relaxed geometry at the PBE-GGA level of DFT.

The structure in CIF format:
```
data_Be2P
_cell_length_a 3.173
_cell_length_b 3.173
_cell_length_c 6.270
_cell_angle_alpha 90.00
_cell_angle_beta 90.00
_cell_angle_gamma 90.00
_symmetry_space_group_name_H-M 'I 4/m m m'
_symmetry_Int_Tables_number 139
_symmetry_space_group_name_Hall '-I 4 2'
loop_
_atom_site_label
_atom_site_fract_x
_atom_site_fract_y
_atom_site_fract_z
Be1 0.000 0.000 0.164
P1 0.000 0.000 0.500
```

E above lowest polymorph, meV/atom: 428.5
D(E_F), states/eV per cell: 2.683
Formation energy from the elements, meV per atom: 292

---

(8)
Computed, not measured: crystalline HfCrAu2 at its relaxed geometry at the PBE-GGA level of DFT.

The structure in CIF format:
```
data_HfCrAu2
_cell_length_a 6.636
_cell_length_b 6.636
_cell_length_c 6.636
_cell_angle_alpha 90.00
_cell_angle_beta 90.00
_cell_angle_gamma 90.00
_symmetry_space_group_name_H-M 'F m -3 m'
_symmetry_Int_Tables_number 225
_symmetry_space_group_name_Hall '-F 4 2 3'
loop_
_atom_site_label
_atom_site_fract_x
_atom_site_fract_y
_atom_site_fract_z
Hf1 0.000 0.000 0.000
Cr1 0.000 0.000 0.500
Au1 0.250 0.250 0.250
```

E above lowest polymorph, meV/atom: 0.0
D(E_F), states/eV per cell: 11.283
Formation energy from the elements, meV per atom: -204

---

(9)
Computed, not measured: crystalline Nd2US4 at its relaxed geometry at the PBE-GGA level of DFT.

The structure in CIF format:
```
data_Nd2US4
_cell_length_a 8.168
_cell_length_b 11.356
_cell_length_c 4.020
_cell_angle_alpha 90.00
_cell_angle_beta 90.00
_cell_angle_gamma 90.00
_symmetry_space_group_name_H-M 'C m m m'
_symmetry_Int_Tables_number 65
_symmetry_space_group_name_Hall '-C 2 2'
loop_
_atom_site_label
_atom_site_fract_x
_atom_site_fract_y
_atom_site_fract_z
Nd1 0.250 0.250 0.000
U1 0.000 0.000 0.500
S1 0.000 0.246 0.500
S2 0.228 0.000 0.000
```

Formation energy from raw total energies, eV per atom: -1.77
D(E_F), states/eV per cell: 17.958

---

(10)
Computed, not measured: crystalline PmNd8 at its relaxed geometry at the PBE-GGA level of DFT.

The structure in CIF format:
```
data_PmNd8
_cell_length_a 11.037
_cell_length_b 11.037
_cell_length_c 5.204
_cell_angle_alpha 90.00
_cell_angle_beta 90.00
_cell_angle_gamma 90.00
_symmetry_space_group_name_H-M 'I 4/m m m'
_symmetry_Int_Tables_number 139
_symmetry_space_group_name_Hall '-I 4 2'
loop_
_atom_site_label
_atom_site_fract_x
_atom_site_fract_y
_atom_site_fract_z
Pm1 0.000 0.000 0.000
Nd1 0.000 0.333 0.000
Nd2 0.166 0.166 0.500
```

D(E_F), states/eV per cell: 29.553
Formation energy from the elements, meV per atom: 12

---

(11)
Computed, not measured: crystalline TbY2Fe at its relaxed geometry at the PBE-GGA level of DFT.

The structure in CIF format:
```
data_TbY2Fe
_cell_length_a 3.4814
_cell_length_b 3.4814
_cell_length_c 32.0049
_cell_angle_alpha 90.00
_cell_angle_beta 90.00
_cell_angle_gamma 120.00
_symmetry_space_group_name_H-M 'R -3 m'
_symmetry_Int_Tables_number 166
_symmetry_space_group_name_Hall '-R 3 2"'
loop_
_atom_site_label
_atom_site_fract_x
_atom_site_fract_y
_atom_site_fract_z
Tb1 0.0000 0.0000 0.0000
Y1 0.0000 0.0000 0.1079
Fe1 0.0000 0.0000 0.5000
```

E above lowest polymorph, meV/atom: 356.6
D(E_F), states/eV per cell: 17.736
Formation energy from the elements, meV per atom: 360

---

(12)
Computed, not measured: crystalline NbAgIO6 at its relaxed geometry at the PBE-GGA level of DFT.

The structure in CIF format:
```
data_NbAgIO6
_cell_length_a 5.4298
_cell_length_b 5.4298
_cell_length_c 10.2952
_cell_angle_alpha 90.00
_cell_angle_beta 90.00
_cell_angle_gamma 120.00
_symmetry_space_group_name_H-M 'P -3 1 c'
_symmetry_Int_Tables_number 163
_symmetry_space_group_name_Hall '-P 3 2c'
loop_
_atom_site_label
_atom_site_fract_x
_atom_site_fract_y
_atom_site_fract_z
Nb1 0.3333 0.6667 0.2500
Ag1 0.0000 0.0000 0.0000
I1 0.3333 0.6667 0.7500
O1 0.0033 0.3856 0.6415
```

Formation energy from raw total energies, eV per atom: -1.00
D(E_F), states/eV per cell: 6.206